LiDyGe2Pt5 after structural relaxation, computed with PBE-GGA.

Lattice parameters (Å, degrees): 4.1321 4.1321 9.3592 90.00 90.00 90.00
Last column: nearest neighbours and their distance in Å.
Positions (direct):
Li1 0.0000 0.0000 0.0000  8 Ge 3.17, 8 Pt 3.30
Dy1 0.0000 0.0000 0.5000  12 Pt 2.92-2.95
Ge1 0.5000 0.5000 0.1307  1 Ge 2.45, 4 Pt 2.47
Ge2 0.5000 0.5000 0.8693  1 Ge 2.45, 4 Pt 2.47
Pt1 0.0000 0.5000 0.2754  2 Ge 2.47
Pt2 0.0000 0.5000 0.7246  2 Ge 2.47
Pt3 0.5000 0.0000 0.2754  2 Ge 2.47
Pt4 0.5000 0.0000 0.7246  2 Ge 2.47
Pt5 0.5000 0.5000 0.5000  4 Dy 2.92, 8 Pt 2.95

Values from the calculation:
The energy of formation comes out at -7.0 eV/f.u.



LiDyGePt after structural relaxation, computed with PBE-GGA.

Lattice parameters (Å, degrees): 5.4514 5.4514 5.4514 47.56 47.56 47.56
Last column: nearest neighbours and their distance in Å.
Positions (direct):
Li1 0.0000 0.0000 0.0000  3 Ge 2.77, 1 Dy 2.91, 3 Pt 2.94
Dy1 0.7992 0.7992 0.7992  3 Pt 2.91, 4 Li 2.91-3.18, 4 Ge 3.04-3.10
Ge1 0.5895 0.5895 0.5895  3 Pt 2.57, 3 Li 2.77
Pt1 0.2302 0.2302 0.2302  3 Ge 2.57

Values from the calculation:
The energy of formation comes out at -3.0 eV/f.u.



LiDyGePt3 after structural relaxation, computed with PBE-GGA.

Lattice parameters (Å, degrees): 7.0281 7.0281 5.7240 90.00 90.00 132.43
Last column: nearest neighbours and their distance in Å.
Positions (direct):
Li1 0.1218 0.8782 0.7500  4 Pt 2.52, 1 Dy 2.72
Li2 0.8782 0.1218 0.2500  4 Pt 2.52, 1 Dy 2.72
Dy1 0.3334 0.6666 0.7500  1 Li 2.72, 6 Pt 2.85-2.97, 2 Ge 2.92
Dy2 0.6666 0.3334 0.2500  1 Li 2.72, 6 Pt 2.85-2.97, 2 Ge 2.92
Ge1 0.3800 0.6200 0.2500  5 Pt 2.46-2.57
Ge2 0.6200 0.3800 0.7500  5 Pt 2.46-2.57
Pt1 0.1885 0.8115 0.2500  1 Ge 2.46
Pt2 0.2389 0.2389 0.0000  2 Li 2.52, 2 Ge 2.57, 1 Pt 2.71
Pt3 0.2389 0.2389 0.5000  2 Li 2.52, 2 Ge 2.57, 1 Pt 2.71
Pt4 0.7611 0.7611 0.0000  2 Li 2.52, 2 Ge 2.57, 1 Pt 2.71
Pt5 0.7611 0.7611 0.5000  2 Li 2.52, 2 Ge 2.57, 1 Pt 2.71
Pt6 0.8115 0.1885 0.7500  1 Ge 2.46

Values from the calculation:
The energy of formation comes out at -4.3 eV/f.u.



LiDyGe2Pt4 after structural relaxation, computed with PBE-GGA.

Lattice parameters (Å, degrees): 8.8296 8.8296 8.8296 27.97 27.97 27.97
Last column: nearest neighbours and their distance in Å.
Positions (direct):
Li1 0.0000 0.0000 0.0000  8 Pt 2.47-2.59
Dy1 0.5000 0.5000 0.5000  6 Pt 3.03
Ge1 0.2588 0.2588 0.2588  7 Pt 2.53-2.70
Ge2 0.7412 0.7412 0.7412  7 Pt 2.53-2.70
Pt1 0.0972 0.0972 0.0972  1 Li 2.47, 3 Ge 2.53
Pt2 0.3646 0.3646 0.3646  3 Li 2.59, 4 Ge 2.69-2.70
Pt3 0.6354 0.6354 0.6354  3 Li 2.59, 4 Ge 2.69-2.70
Pt4 0.9028 0.9028 0.9028  1 Li 2.47, 3 Ge 2.53

Values from the calculation:
The energy of formation comes out at -6.0 eV/f.u.



LiDy2Ge4Rh3 after structural relaxation, computed with PBE-GGA.

Lattice parameters (Å, degrees): 4.2221 4.2221 10.0918 90.00 90.00 90.00
Last column: nearest neighbours and their distance in Å.
Positions (direct):
Li1 0.0000 0.0000 0.0000  4 Ge 2.50
Dy1 0.0000 0.5000 0.7436  6 Rh 3.20-3.34, 8 Ge 3.24, 2 Li 3.34
Dy2 0.5000 0.0000 0.2564  6 Rh 3.20-3.34, 8 Ge 3.24, 2 Li 3.34
Ge1 0.0000 0.0000 0.5000  4 Rh 2.48
Ge2 0.0000 0.5000 0.1322  3 Rh 2.42-2.50, 2 Li 2.50
Ge3 0.5000 0.0000 0.8678  3 Rh 2.42-2.50, 2 Li 2.50
Ge4 0.5000 0.5000 0.5000  4 Rh 2.48
Rh1 0.0000 0.5000 0.3719  5 Ge 2.42-2.48
Rh2 0.5000 0.0000 0.6281  5 Ge 2.42-2.48
Rh3 0.5000 0.5000 0.0000  4 Ge 2.50

Values from the calculation:
The energy of formation comes out at -7.5 eV/f.u.



LiDyGe2Rh after structural relaxation, computed with PBE-GGA.

Lattice parameters (Å, degrees): 6.0529 6.0529 6.0529 140.66 140.66 56.85
Last column: nearest neighbours and their distance in Å.
Positions (direct):
Li1 0.0000 0.0000 0.0000  4 Ge 2.48
Dy1 0.2500 0.7500 0.5000  8 Ge 3.14, 4 Li 3.35, 4 Rh 3.35
Ge1 0.6329 0.1329 0.5000  2 Li 2.48, 2 Rh 2.48, 1 Ge 2.49
Ge2 0.8671 0.3671 0.5000  2 Li 2.48, 2 Rh 2.48, 1 Ge 2.49
Rh1 0.5000 0.5000 0.0000  4 Ge 2.48

Values from the calculation:
The energy of formation comes out at -3.5 eV/f.u.



Number 1: N(E_F) 2.91 states/eV per cell. Number 2: N(E_F) 1.75 states/eV per cell. Number 3: N(E_F) 3.75 states/eV per cell. Number 4: N(E_F) 3.36 states/eV per cell. Number 5: N(E_F) 5.59 states/eV per cell. Number 6: N(E_F) 4.00 states/eV per cell.